--- i ---
VASP calculation (PBE-GGA) on SrCuRu2 after structural relaxation.

a b c (Å): 2.906 4.500 5.805
angles (deg): 90.00 100.80 90.00
Space group P2/m (No. 10)
Inequivalent atoms, fractional coordinates:
1 Sr 0.000 0.000 0.000 [1 per cell]
2 Cu 0.500 0.000 0.500 [1 per cell]
3 Ru 0.311 0.500 0.681 [2 per cell]



--- ii ---
VASP calculation (PBE-GGA) on SrCuRu2 after structural relaxation.

a b c (Å): 10.231 2.926 5.037
angles (deg): 90.00 107.12 90.00
Space group C2/m (No. 12)
Inequivalent atoms, fractional coordinates:
1 Sr 0.000 0.000 0.000 [2 per cell]
2 Cu 0.000 0.500 0.500 [2 per cell]
3 Ru 0.220 0.000 0.680 [4 per cell]



Energy ordering: ii at the bottom, the next structure 70 meV/atom above.